## Li2Ac3PaS9 (GGA-PBE)

Data for Li2Ac3PaS9 after structural relaxation.

a b c (Å): 6.656 6.656 9.191
angles (deg): 90.00 90.00 120.00
Fractional positions:
S 0.500 0.500 0.000
S 0.170 0.339 0.315
S 0.339 0.170 0.685
Li 0.667 0.333 0.841
Pa 0.000 0.000 0.500
Ac 0.000 0.000 0.000
S 0.500 0.000 0.000
S 0.000 0.500 0.000
S 0.170 0.830 0.315
Ac 0.333 0.667 0.745
S 0.661 0.830 0.315
Ac 0.667 0.333 0.255
Li 0.333 0.667 0.159
S 0.830 0.170 0.685
S 0.830 0.661 0.685

Summary:
formation energy without anion corrections	-1475.4	meV/atom
SG	No. 164
E_tot	-5.66	eV/atom